Computed, not measured: a relaxed Ce6PuSe8 crystal at the PBE level of DFT.

Structure (CIF):
```
data_Ce6PuSe8
_chemical_formula_sum 'Ce24 Pu4 Se32'
_cell_length_a 11.8474
_cell_length_b 11.8474
_cell_length_c 11.8474
_cell_angle_alpha 90.00
_cell_angle_beta 90.00
_cell_angle_gamma 90.00
_symmetry_space_group_name_H-M 'F m -3 m'
_symmetry_Int_Tables_number 225
_symmetry_space_group_name_Hall '-F 4 2 3'
loop_
_atom_site_label
_atom_site_type_symbol
_atom_site_fract_x
_atom_site_fract_y
_atom_site_fract_z
Ce1 Ce 0.0000 0.2500 0.2500
Pu1 Pu 0.0000 0.0000 0.0000
Se1 Se 0.0000 0.0000 0.2502
Se2 Se 0.2500 0.2500 0.2500
```

Raw formation energy ... -1.765 eV per atom

Computed, not measured: a relaxed Ce2PuSe3 crystal at the PBE level of DFT.

Structure (CIF):
```
data_Ce2PuSe3
_chemical_formula_sum 'Ce8 Pu4 Se12'
_cell_length_a 5.9203
_cell_length_b 12.5718
_cell_length_c 8.3782
_cell_angle_alpha 90.00
_cell_angle_beta 90.00
_cell_angle_gamma 90.00
_symmetry_space_group_name_H-M 'P 1 21/c 1'
_symmetry_Int_Tables_number 14
loop_
_symmetry_equiv_pos_as_xyz
'x,y,z'
'-x,-y,-z'
'-x,y+1/2,-z+1/2'
'x,-y+1/2,z+1/2'
loop_
_atom_site_label
_atom_site_type_symbol
_atom_site_fract_x
_atom_site_fract_y
_atom_site_fract_z
Ce1 Ce 0.2495 0.0831 0.3746
Ce2 Ce 0.2510 0.7487 0.8748
Pu1 Pu 0.2495 0.0842 0.8745
Se1 Se 0.2490 0.2501 0.1247
Se2 Se 0.2505 0.5816 0.6209
Se3 Se 0.2505 0.5814 0.1286
```

Raw formation energy ... -1.721 eV per atom

Computed, not measured: a relaxed Ce2Pu2Se5 crystal at the PBE level of DFT.

Structure (CIF):
```
data_Ce2Pu2Se5
_chemical_formula_sum 'Ce8 Pu8 Se20'
_cell_length_a 14.7657
_cell_length_b 7.8680
_cell_length_c 7.8551
_cell_angle_alpha 90.00
_cell_angle_beta 90.00
_cell_angle_gamma 90.00
_symmetry_space_group_name_H-M 'C m c e'
_symmetry_Int_Tables_number 64
_symmetry_space_group_name_Hall '-C 2ac 2'
loop_
_atom_site_label
_atom_site_type_symbol
_atom_site_fract_x
_atom_site_fract_y
_atom_site_fract_z
Ce1 Ce 0.1955 0.0000 0.0000
Pu1 Pu 0.0000 0.1501 0.3482
Se1 Se 0.0000 0.0000 0.0000
Se2 Se 0.1381 0.1603 0.6553
```

Raw formation energy ... -1.667 eV per atom

Computed, not measured: a relaxed CePu2Se4 crystal at the PBE level of DFT.

Structure (CIF):
```
data_CePu2Se4
_chemical_formula_sum 'Ce4 Pu8 Se16'
_cell_length_a 4.1039
_cell_length_b 13.6346
_cell_length_c 13.8257
_cell_angle_alpha 90.00
_cell_angle_beta 90.00
_cell_angle_gamma 90.00
_symmetry_space_group_name_H-M 'C m c m'
_symmetry_Int_Tables_number 63
_symmetry_space_group_name_Hall '-C 2c 2'
loop_
_atom_site_label
_atom_site_type_symbol
_atom_site_fract_x
_atom_site_fract_y
_atom_site_fract_z
Ce1 Ce 0.0000 0.1178 0.2500
Pu1 Pu 0.0000 0.3666 0.0659
Se1 Se 0.0000 0.0000 0.0000
Se2 Se 0.0000 0.2735 0.6245
Se3 Se 0.0000 0.4639 0.2500
```

Raw formation energy ... -1.616 eV per atom

Computed, not measured: a relaxed CePu5Se6 crystal at the PBE level of DFT.

Structure (CIF):
```
data_CePu5Se6
_chemical_formula_sum 'Ce2 Pu10 Se12'
_cell_length_a 7.2173
_cell_length_b 12.4954
_cell_length_c 7.2177
_cell_angle_alpha 90.00
_cell_angle_beta 109.45
_cell_angle_gamma 90.00
_symmetry_space_group_name_H-M 'C 1 2/m 1'
_symmetry_Int_Tables_number 12
loop_
_symmetry_equiv_pos_as_xyz
'x,y,z'
'-x,-y,-z'
'-x,y,-z'
'x,-y,z'
'x+1/2,y+1/2,z'
'-x+1/2,-y+1/2,-z'
'-x+1/2,y+1/2,-z'
'x+1/2,-y+1/2,z'
loop_
_atom_site_label
_atom_site_type_symbol
_atom_site_fract_x
_atom_site_fract_y
_atom_site_fract_z
Ce1 Ce 0.0000 0.0000 0.0000
Pu1 Pu 0.0000 0.1654 0.5000
Pu2 Pu 0.0000 0.3331 0.0000
Pu3 Pu 0.0000 0.5000 0.5000
Se1 Se 0.2464 0.5000 0.2516
Se2 Se 0.2470 0.3314 0.7472
```

Raw formation energy ... -1.576 eV per atom

Computed, not measured: a relaxed CePu4Se6 crystal at the PBE level of DFT.

Structure (CIF):
```
data_CePu4Se6
_chemical_formula_sum 'Ce6 Pu24 Se36'
_cell_length_a 11.7806
_cell_length_b 11.7806
_cell_length_c 14.3146
_cell_angle_alpha 90.00
_cell_angle_beta 90.00
_cell_angle_gamma 120.00
_symmetry_space_group_name_H-M 'R -3 c'
_symmetry_Int_Tables_number 167
_symmetry_space_group_name_Hall '-R 3 2"c'
loop_
_atom_site_label
_atom_site_type_symbol
_atom_site_fract_x
_atom_site_fract_y
_atom_site_fract_z
Ce1 Ce 0.0000 0.0000 0.0000
Pu1 Pu 0.0000 0.0000 0.2500
Pu2 Pu 0.0000 0.3850 0.2500
Se1 Se 0.0303 0.2080 0.3829
```

Raw formation energy ... -1.446 eV per atom

Computed, not measured: a relaxed Ce5Pu3Se8 crystal at the PBE level of DFT.

Structure (CIF):
```
data_Ce5Pu3Se8
_chemical_formula_sum 'Ce15 Pu9 Se24'
_cell_length_a 8.3593
_cell_length_b 8.3593
_cell_length_c 20.5433
_cell_angle_alpha 90.00
_cell_angle_beta 90.00
_cell_angle_gamma 120.00
_symmetry_space_group_name_H-M 'R -3 m'
_symmetry_Int_Tables_number 166
_symmetry_space_group_name_Hall '-R 3 2"'
loop_
_atom_site_label
_atom_site_type_symbol
_atom_site_fract_x
_atom_site_fract_y
_atom_site_fract_z
Ce1 Ce 0.0000 0.0000 0.0000
Ce2 Ce 0.0000 0.0000 0.5000
Ce3 Ce 0.0000 0.5000 0.0000
Pu1 Pu 0.0000 0.5000 0.5000
Se1 Se 0.0000 0.0000 0.2477
Se2 Se 0.0032 0.5016 0.7516
```

Raw formation energy ... -1.708 eV per atom

Computed, not measured: a relaxed Ce3PuSe6 crystal at the PBE level of DFT.

Structure (CIF):
```
data_Ce3PuSe6
_chemical_formula_sum 'Ce18 Pu6 Se36'
_cell_length_a 13.0884
_cell_length_b 13.0884
_cell_length_c 12.1006
_cell_angle_alpha 90.00
_cell_angle_beta 90.00
_cell_angle_gamma 120.00
_symmetry_space_group_name_H-M 'R -3'
_symmetry_Int_Tables_number 148
_symmetry_space_group_name_Hall '-R 3'
loop_
_atom_site_label
_atom_site_type_symbol
_atom_site_fract_x
_atom_site_fract_y
_atom_site_fract_z
Ce1 Ce 0.0514 0.6115 0.3226
Pu1 Pu 0.0000 0.0000 0.0000
Pu2 Pu 0.0000 0.0000 0.5000
Se1 Se 0.0334 0.8225 0.3919
Se2 Se 0.0497 0.8387 0.8868
```

Raw formation energy ... -1.653 eV per atom

Computed, not measured: a relaxed Ce3Pu5Se8 crystal at the PBE level of DFT.

Structure (CIF):
```
data_Ce3Pu5Se8
_chemical_formula_sum 'Ce9 Pu15 Se24'
_cell_length_a 8.3528
_cell_length_b 8.3528
_cell_length_c 20.4800
_cell_angle_alpha 90.00
_cell_angle_beta 90.00
_cell_angle_gamma 120.00
_symmetry_space_group_name_H-M 'R -3 m'
_symmetry_Int_Tables_number 166
_symmetry_space_group_name_Hall '-R 3 2"'
loop_
_atom_site_label
_atom_site_type_symbol
_atom_site_fract_x
_atom_site_fract_y
_atom_site_fract_z
Ce1 Ce 0.0000 0.5000 0.0000
Pu1 Pu 0.0000 0.0000 0.0000
Pu2 Pu 0.0000 0.0000 0.5000
Pu3 Pu 0.0000 0.5000 0.5000
Se1 Se 0.0000 0.0000 0.2477
Se2 Se 0.0031 0.5015 0.7515
```

Raw formation energy ... -1.638 eV per atom

Computed, not measured: a relaxed CePuSe4 crystal at the PBE level of DFT.

Structure (CIF):
```
data_CePuSe4
_chemical_formula_sum 'Ce1 Pu1 Se4'
_cell_length_a 4.8484
_cell_length_b 4.8484
_cell_length_c 6.8524
_cell_angle_alpha 90.00
_cell_angle_beta 90.00
_cell_angle_gamma 90.00
_symmetry_space_group_name_H-M 'P 4/m m m'
_symmetry_Int_Tables_number 123
_symmetry_space_group_name_Hall '-P 4 2'
loop_
_atom_site_label
_atom_site_type_symbol
_atom_site_fract_x
_atom_site_fract_y
_atom_site_fract_z
Ce1 Ce 0.0000 0.0000 0.0000
Pu1 Pu 0.5000 0.5000 0.5000
Se1 Se 0.0000 0.5000 0.2537
```

Raw formation energy ... -1.384 eV per atom